[1]
This record from the Alexandria database describes an optimized crystal structure of YTi2Te. The functional is PBE.

a b c (Å): 8.159 8.159 5.865
angles (deg): 90.00 90.00 90.00
Fractional positions:
Y 0.000 0.000 0.000
Y 0.000 0.500 0.250
Y 0.500 0.000 0.750
Y 0.500 0.500 0.500
Ti 0.201 0.750 0.625
Ti 0.250 0.201 0.375
Ti 0.250 0.299 0.875
Ti 0.299 0.750 0.125
Ti 0.701 0.250 0.125
Ti 0.750 0.701 0.875
Ti 0.750 0.799 0.375
Ti 0.799 0.250 0.625
Te 0.000 0.000 0.500
Te 0.000 0.500 0.750
Te 0.500 0.000 0.250
Te 0.500 0.500 0.000

Values from the calculation:
DOS(E_F)	33.40	states/eV per cell
crystal system	tetragonal
space-group type	I-42d, No. 122
ΔE_f (raw)	0.10	eV per atom
VASP energy	-6.25	eV per atom

[2]
This record from the Alexandria database describes an optimized crystal structure of AgSn2Au2. The functional is PBE.

a b c (Å): 3.864 3.864 15.537
angles (deg): 90.00 90.00 90.00
Fractional positions:
Ag 0.000 0.000 0.000
Ag 0.500 0.500 0.500
Sn 0.000 0.000 0.399
Sn 0.000 0.000 0.601
Sn 0.500 0.500 0.101
Sn 0.500 0.500 0.899
Au 0.000 0.500 0.250
Au 0.000 0.500 0.750
Au 0.500 0.000 0.250
Au 0.500 0.000 0.750

Values from the calculation:
DOS(E_F)	3.89	states/eV per cell
crystal system	tetragonal
space-group type	I4/mmm, No. 139
VASP energy	-3.40	eV per atom
excess energy over the best structure of this formula in the dataset	150	meV/atom
ΔE_f	0.08	eV per atom

[3]
This record from the Alexandria database describes an optimized crystal structure of Pr3ErPb2. The functional is PBE.

a b c (Å): 5.013 16.519 4.550
angles (deg): 90.00 90.00 90.00
Fractional positions:
Pr 0.000 0.000 0.000
Pr 0.000 0.324 0.000
Pr 0.000 0.676 0.000
Pr 0.500 0.176 0.000
Pr 0.500 0.500 0.000
Pr 0.500 0.824 0.000
Er 0.000 0.500 0.500
Er 0.500 0.000 0.500
Pb 0.000 0.148 0.500
Pb 0.000 0.852 0.500
Pb 0.500 0.352 0.500
Pb 0.500 0.648 0.500

Values from the calculation:
DOS(E_F)	13.83	states/eV per cell
crystal system	orthorhombic
space-group type	Cmmm, No. 65
VASP energy	-4.78	eV per atom
excess energy over the best structure of this formula in the dataset	40	meV/atom
ΔE_f	-0.39	eV per atom